An optimized crystal structure of Na2CrP2, computed with GGA-PBE.

Results
Total energy: -24.4 eV/f.u.
N(E_F): 1.4 states/eV/f.u.
DFT formation energy: -0.263 eV per atom
Crystal system: tetragonal
Spin magnetization: 3.51 μB per formula unit

Cell: 6.210 6.210 4.837 Å, 90.00 90.00 90.00°
Space group P4/mbm (No. 127)
Asymmetric unit:
Na: 0.177 0.323 0.000 (multiplicity 4)
Cr: 0.000 0.000 0.500 (multiplicity 2)
P: 0.129 0.629 0.500 (multiplicity 4)